[1]
Density functional theory data (PBE) for Sr2Cd2CuS2O2 after structural relaxation.

a = 4.0549 Å, b = 4.0549 Å, c = 20.7975 Å
α = 90.00°, β = 90.00°, γ = 90.00°
Space group I4/mmm (No. 139)
One atom of each set of equivalent atoms:
Sr (0.0000, 0.0000, 0.0788) (multiplicity 4)
Cd (0.0000, 0.5000, 0.2500) (multiplicity 4)
Cu (0.0000, 0.0000, 0.5000) (multiplicity 2)
S (0.0000, 0.0000, 0.3573) (multiplicity 4)
O (0.0000, 0.5000, 0.0000) (multiplicity 4)

Calculated values
Its formation energy from raw total energies is -1192 meV/atom.

***

[2]
Density functional theory data (PBE) for Sr2CdCuS2O2 after structural relaxation.

a = 3.9460 Å, b = 3.9460 Å, c = 19.5137 Å
α = 90.00°, β = 90.00°, γ = 90.00°
Space group I-4m2 (No. 119)
One atom of each set of equivalent atoms:
Sr (0.0000, 0.0000, 0.0876) (multiplicity 4)
Cd (0.0000, 0.5000, 0.2500) (multiplicity 2)
Cu (0.0000, 0.0000, 0.5000) (multiplicity 2)
S (0.0000, 0.0000, 0.3363) (multiplicity 4)
O (0.0000, 0.5000, 0.0013) (multiplicity 4)

Calculated values
Its formation energy from raw total energies is -1556 meV/atom.

***

[3]
Density functional theory data (PBE) for CdCu2SeO6 after structural relaxation.

a = 9.1490 Å, b = 9.3484 Å, c = 5.5377 Å
α = 90.00°, β = 94.89°, γ = 90.00°
Space group C2/c (No. 15)
One atom of each set of equivalent atoms:
Cd (0.0000, 0.0838, 0.2500) (multiplicity 4)
Cu (0.1642, 0.3992, 0.3036) (multiplicity 8)
Se (0.0000, 0.2753, 0.7500) (multiplicity 4)
O (0.1004, 0.2676, 0.0477) (multiplicity 8)
O (0.1203, 0.1241, 0.6386) (multiplicity 8)
O (0.1289, 0.4118, 0.6467) (multiplicity 8)

Calculated values
Its formation energy from raw total energies is -542 meV/atom.

***

[4]
Density functional theory data (PBE) for CdCuSe2O after structural relaxation.

a = 5.1146 Å, b = 5.1146 Å, c = 4.9718 Å
α = 90.00°, β = 90.00°, γ = 90.00°
Space group P4/mmm (No. 123)
One atom of each set of equivalent atoms:
Cd (0.0000, 0.0000, 0.0000) (multiplicity 1)
Cu (0.0000, 0.0000, 0.5000) (multiplicity 1)
Se (0.0000, 0.5000, 0.0000) (multiplicity 2)
O (0.5000, 0.5000, 0.5000) (multiplicity 1)

Calculated values
Its formation energy from raw total energies is 1294 meV/atom.

***

[5]
Density functional theory data (PBE) for CdCuSeO after structural relaxation.

a = 3.6865 Å, b = 3.6865 Å, c = 19.2821 Å
α = 90.00°, β = 90.00°, γ = 120.00°
Space group R3m (No. 160, hexagonal axes)
One atom of each set of equivalent atoms:
Cd (0.0000, 0.0000, 0.0000) (multiplicity 3)
Cu (0.0000, 0.0000, 0.4715) (multiplicity 3)
Se (0.0000, 0.0000, 0.8592) (multiplicity 3)
O (0.0000, 0.0000, 0.3697) (multiplicity 3)

Calculated values
Its formation energy from raw total energies is -536 meV/atom.

***

[6]
Density functional theory data (PBE) for CdCuSe2O6 after structural relaxation.

a = 7.5335 Å, b = 11.1505 Å, c = 7.3862 Å
α = 90.00°, β = 94.70°, γ = 90.00°
Space group P2_1/c (No. 14)
One atom of each set of equivalent atoms:
Cd (0.2435, 0.0388, 0.0159) (multiplicity 4)
Cu (0.1868, 0.0920, 0.4810) (multiplicity 4)
Se (0.0605, 0.7186, 0.7358) (multiplicity 4)
Se (0.4406, 0.6019, 0.1930) (multiplicity 4)
O (0.0378, 0.6119, 0.5632) (multiplicity 4)
O (0.0393, 0.6308, 0.9266) (multiplicity 4)
O (0.1484, 0.2136, 0.2883) (multiplicity 4)
O (0.2834, 0.0131, 0.7072) (multiplicity 4)
O (0.3635, 0.0184, 0.3319) (multiplicity 4)
O (0.4763, 0.6290, 0.4218) (multiplicity 4)

Calculated values
Its formation energy from raw total energies is -838 meV/atom.

***

[7]
Density functional theory data (PBE) for CdCuSiO4 after structural relaxation.

a = 5.9559 Å, b = 8.9122 Å, c = 6.3664 Å
α = 90.00°, β = 90.00°, γ = 90.00°
Space group Cmcm (No. 63)
One atom of each set of equivalent atoms:
Cd (0.0000, 0.0000, 0.0000) (multiplicity 4)
Cu (0.0000, 0.3211, 0.2500) (multiplicity 4)
Si (0.0000, 0.3673, 0.7500) (multiplicity 4)
O (0.0000, 0.2628, 0.5378) (multiplicity 8)
O (0.2185, 0.4848, 0.7500) (multiplicity 8)

Calculated values
Its formation energy from raw total energies is -1559 meV/atom.

***

[8]
Density functional theory data (PBE) for Sm2CdCuO5 after structural relaxation.

a = 6.6160 Å, b = 6.6160 Å, c = 5.6489 Å
α = 90.00°, β = 90.00°, γ = 90.00°
Space group P4/mbm (No. 127)
One atom of each set of equivalent atoms:
Sm (0.1720, 0.3280, 0.0000) (multiplicity 4)
Cd (0.0000, 0.0000, 0.5000) (multiplicity 2)
Cu (0.0000, 0.5000, 0.5000) (multiplicity 2)
O (0.0000, 0.0000, 0.0000) (multiplicity 2)
O (0.1417, 0.6417, 0.2578) (multiplicity 8)

Calculated values
Its formation energy from raw total energies is -2047 meV/atom.

***

[9]
Density functional theory data (PBE) for CdCuSnO4 after structural relaxation.

a = 6.0114 Å, b = 6.3316 Å, c = 9.8315 Å
α = 90.00°, β = 90.00°, γ = 90.00°
Space group Imma (No. 74)
One atom of each set of equivalent atoms:
Cd (0.0000, 0.2500, 0.1590) (multiplicity 4)
Cu (0.2500, 0.2500, 0.7500) (multiplicity 4)
Sn (0.0000, 0.0000, 0.5000) (multiplicity 4)
O (0.0000, 0.0428, 0.7153) (multiplicity 8)
O (0.2275, 0.2500, 0.4897) (multiplicity 8)

Calculated values
Its formation energy from raw total energies is -1147 meV/atom.

***

[10]
Density functional theory data (PBE) for Sr2CdCu3O6 after structural relaxation.

a = 3.7991 Å, b = 3.7991 Å, c = 11.8170 Å
α = 90.00°, β = 90.00°, γ = 90.00°
Space group P4/mmm (No. 123)
One atom of each set of equivalent atoms:
Sr (0.0000, 0.0000, 0.2075) (multiplicity 2)
Cd (0.0000, 0.0000, 0.5000) (multiplicity 1)
Cu (0.5000, 0.5000, 0.0000) (multiplicity 1)
Cu (0.5000, 0.5000, 0.3650) (multiplicity 2)
O (0.0000, 0.5000, 0.3647) (multiplicity 4)
O (0.5000, 0.5000, 0.1510) (multiplicity 2)

Calculated values
Its formation energy from raw total energies is -1331 meV/atom.

***

[11]
Density functional theory data (PBE) for Sr2CdCuO4 after structural relaxation.

a = 5.9727 Å, b = 5.9727 Å, c = 6.8825 Å
α = 90.00°, β = 90.00°, γ = 90.00°
Space group I-4 (No. 82)
One atom of each set of equivalent atoms:
Sr (0.0000, 0.0000, 0.0000) (multiplicity 2)
Sr (0.0000, 0.5000, 0.2500) (multiplicity 2)
Cd (0.0000, 0.0000, 0.5000) (multiplicity 2)
Cu (0.0000, 0.5000, 0.7500) (multiplicity 2)
O (0.2024, 0.2578, 0.6613) (multiplicity 8)

Calculated values
Its formation energy from raw total energies is -1654 meV/atom.

***

[12]
Density functional theory data (PBE) for Sr3CdCu2O6 after structural relaxation.

a = 6.0194 Å, b = 6.0194 Å, c = 6.4353 Å
α = 90.00°, β = 90.00°, γ = 120.00°
Space group P-3m1 (No. 164)
One atom of each set of equivalent atoms:
Sr (0.0000, 0.0000, 0.0000) (multiplicity 1)
Sr (0.3333, 0.6667, 0.6264) (multiplicity 2)
Cd (0.0000, 0.0000, 0.5000) (multiplicity 1)
Cu (0.3333, 0.6667, 0.1729) (multiplicity 2)
O (0.1692, 0.3384, 0.2857) (multiplicity 6)

Calculated values
Its formation energy from raw total energies is -1456 meV/atom.

***

[13]
Density functional theory data (PBE) for SrCdCuO3 after structural relaxation.

a = 7.0464 Å, b = 3.3623 Å, c = 7.8748 Å
α = 90.00°, β = 98.98°, γ = 90.00°
Space group P2_1/m (No. 11)
One atom of each set of equivalent atoms:
Sr (0.1797, 0.2500, 0.2046) (multiplicity 2)
Cd (0.3565, 0.7500, 0.8591) (multiplicity 2)
Cu (0.1276, 0.2500, 0.6008) (multiplicity 2)
O (0.1117, 0.2500, 0.8501) (multiplicity 2)
O (0.1703, 0.7500, 0.4770) (multiplicity 2)
O (0.4234, 0.7500, 0.1577) (multiplicity 2)

Calculated values
Its formation energy from raw total energies is -1326 meV/atom.

***

[14]
Density functional theory data (PBE) for CdCuTc2O8 after structural relaxation.

a = 6.9504 Å, b = 6.9504 Å, c = 7.0595 Å
α = 90.00°, β = 90.00°, γ = 90.00°
Space group I-4m2 (No. 119)
One atom of each set of equivalent atoms:
Cd (0.0000, 0.0000, 0.0000) (multiplicity 2)
Cu (0.0000, 0.5000, 0.7500) (multiplicity 2)
Tc (0.0000, 0.0000, 0.5000) (multiplicity 2)
Tc (0.0000, 0.5000, 0.2500) (multiplicity 2)
O (0.0000, 0.2070, 0.6490) (multiplicity 8)
O (0.0000, 0.2989, 0.0979) (multiplicity 8)

Calculated values
Its formation energy from raw total energies is -1085 meV/atom.

***

[15]
Density functional theory data (PBE) for CdCu2TcO6 after structural relaxation.

a = 11.2278 Å, b = 12.1898 Å, c = 6.1310 Å
α = 90.00°, β = 114.70°, γ = 90.00°
Space group C2/c (No. 15)
One atom of each set of equivalent atoms:
Cd (0.0000, 0.2058, 0.2500) (multiplicity 4)
Cu (0.1313, 0.0013, 0.1132) (multiplicity 8)
Tc (0.0000, 0.3831, 0.7500) (multiplicity 4)
O (0.0636, 0.2987, 0.0079) (multiplicity 8)
O (0.1235, 0.4641, 0.7409) (multiplicity 8)
O (0.1488, 0.0776, 0.3788) (multiplicity 8)

Calculated values
Its formation energy from raw total energies is -890 meV/atom.

***

[16]
Density functional theory data (PBE) for CdCuTeO5 after structural relaxation.

a = 6.4159 Å, b = 9.2651 Å, c = 7.6185 Å
α = 90.00°, β = 112.40°, γ = 90.00°
Space group C2/c (No. 15)
One atom of each set of equivalent atoms:
Cd (0.0000, 0.1831, 0.2500) (multiplicity 4)
Cu (0.0000, 0.1708, 0.7500) (multiplicity 4)
Te (0.0000, 0.5000, 0.0000) (multiplicity 4)
O (0.0000, 0.4314, 0.2500) (multiplicity 4)
O (0.0466, 0.2955, 0.5649) (multiplicity 8)
O (0.1751, 0.0180, 0.9151) (multiplicity 8)

Calculated values
Its formation energy from raw total energies is -853 meV/atom.

***

[17]
Density functional theory data (PBE) for CdCuTe2O8 after structural relaxation.

a = 7.1398 Å, b = 7.1398 Å, c = 6.7315 Å
α = 90.00°, β = 90.00°, γ = 90.00°
Space group I-4m2 (No. 119)
One atom of each set of equivalent atoms:
Cd (0.0000, 0.0000, 0.0000) (multiplicity 2)
Cu (0.0000, 0.5000, 0.7500) (multiplicity 2)
Te (0.0000, 0.0000, 0.5000) (multiplicity 2)
Te (0.0000, 0.5000, 0.2500) (multiplicity 2)
O (0.0000, 0.1989, 0.6802) (multiplicity 8)
O (0.0000, 0.3097, 0.0653) (multiplicity 8)

Calculated values
Its formation energy from raw total energies is -594 meV/atom.

***

[18]
Density functional theory data (PBE) for CdCuTeO6 after structural relaxation.

a = 5.1363 Å, b = 5.1363 Å, c = 9.8148 Å
α = 90.00°, β = 90.00°, γ = 120.00°
Space group P-31c (No. 163)
One atom of each set of equivalent atoms:
Cd (0.0000, 0.0000, 0.0000) (multiplicity 2)
Cu (0.3333, 0.6667, 0.2500) (multiplicity 2)
Te (0.3333, 0.6667, 0.7500) (multiplicity 2)
O (0.0011, 0.3709, 0.6393) (multiplicity 12)

Calculated values
Its formation energy from raw total energies is -739 meV/atom.

***

Number 1: total magnetic moment 0.00 Bohr magnetons per cell, VASP energy -4.243 eV per atom, ρ 5.4 g/cm³. Number 2: total magnetic moment 0.00 Bohr magnetons per cell, VASP energy -4.874 eV per atom, ρ 4.9 g/cm³. Number 3: total magnetic moment 7.99 Bohr magnetons per cell, VASP energy -4.776 eV per atom, ρ 5.8 g/cm³. Number 4: total magnetic moment 0.00 Bohr magnetons per cell, VASP energy -2.093 eV per atom, ρ 4.5 g/cm³. Number 5: total magnetic moment 0.00 Bohr magnetons per cell, VASP energy -3.899 eV per atom, ρ 5.9 g/cm³. Number 6: total magnetic moment 4.00 Bohr magnetons per cell, VASP energy -5.010 eV per atom, ρ 4.6 g/cm³. Number 7: total magnetic moment 4.08 Bohr magnetons per cell, VASP energy -5.883 eV per atom, ρ 5.3 g/cm³. Number 8: total magnetic moment 1.94 Bohr magnetons per cell, VASP energy -6.407 eV per atom, ρ 7.5 g/cm³. Number 9: total magnetic moment 4.06 Bohr magnetons per cell, VASP energy -5.268 eV per atom, ρ 6.4 g/cm³. Number 10: total magnetic moment 0.47 Bohr magnetons per cell, VASP energy -5.191 eV per atom, ρ 5.6 g/cm³. Number 11: total magnetic moment 1.99 Bohr magnetons per cell, VASP energy -5.180 eV per atom, ρ 5.6 g/cm³. Number 12: total magnetic moment 1.75 Bohr magnetons per cell, VASP energy -5.114 eV per atom, ρ 4.9 g/cm³. Number 13: total magnetic moment 1.96 Bohr magnetons per cell, VASP energy -4.920 eV per atom, ρ 5.6 g/cm³. Number 14: total magnetic moment 2.15 Bohr magnetons per cell, VASP energy -6.535 eV per atom, ρ 4.9 g/cm³. Number 15: total magnetic moment 3.93 Bohr magnetons per cell, VASP energy -5.812 eV per atom, ρ 3.8 g/cm³. Number 16: total magnetic moment 3.81 Bohr magnetons per cell, VASP energy -4.971 eV per atom, ρ 6.1 g/cm³. Number 17: total magnetic moment 2.08 Bohr magnetons per cell, VASP energy -4.841 eV per atom, ρ 5.4 g/cm³. Number 18: total magnetic moment 2.07 Bohr magnetons per cell, VASP energy -4.950 eV per atom, ρ 5.9 g/cm³.